i) A relaxed structure of Te2IrRhN. Source: the Alexandria database, functional PBE.

Cell and atoms, written as CIF:
```
data_Te2IrRhN
_cell_length_a 5.396
_cell_length_b 5.396
_cell_length_c 3.602
_cell_angle_alpha 90.00
_cell_angle_beta 90.00
_cell_angle_gamma 90.00
_space_group_name_H-M_alt 'P 1'
_space_group_IT_number 1
_space_group_name_Hall 'P 1'
loop_
_atom_site_label
_atom_site_type_symbol
_atom_site_fract_x
_atom_site_fract_y
_atom_site_fract_z
Te1 Te 0.000 0.500 0.000
Te2 Te 0.500 0.000 0.000
Ir1 Ir 0.000 0.000 0.000
Rh1 Rh 0.500 0.500 0.500
N1 N 0.000 0.000 0.500
```

Properties
DOS(E_F) ... 0.705 states/eV per atom
Volume ... 104.9 Å³/cell
Spin magnetization ... 0.0 μB/f.u.

ii) A relaxed structure of Te2IrRhN. Source: the Alexandria database, functional PBE.

Cell and atoms, written as CIF:
```
data_Te2IrRhN
_cell_length_a 5.308
_cell_length_b 5.308
_cell_length_c 3.567
_cell_angle_alpha 90.00
_cell_angle_beta 90.00
_cell_angle_gamma 90.00
_space_group_name_H-M_alt 'P 1'
_space_group_IT_number 1
_space_group_name_Hall 'P 1'
loop_
_atom_site_label
_atom_site_type_symbol
_atom_site_fract_x
_atom_site_fract_y
_atom_site_fract_z
Te1 Te 0.000 0.500 0.000
Te2 Te 0.500 0.000 0.000
Ir1 Ir 0.000 0.000 0.500
Rh1 Rh 0.500 0.500 0.000
N1 N 0.500 0.500 0.500
```

Properties
DOS(E_F) ... 0.521 states/eV per atom
Volume ... 100.5 Å³/cell
Spin magnetization ... 0.0 μB/f.u.

Result of the stability comparison: i) is the most stable of them.

i) A relaxed structure of IrRu3N. Source: the Alexandria database, functional PBE.

Cell and atoms, written as CIF:
```
data_IrRu3N
_cell_length_a 4.011
_cell_length_b 4.011
_cell_length_c 4.011
_cell_angle_alpha 90.00
_cell_angle_beta 90.00
_cell_angle_gamma 90.00
_space_group_name_H-M_alt 'P 1'
_space_group_IT_number 1
_space_group_name_Hall 'P 1'
loop_
_atom_site_label
_atom_site_type_symbol
_atom_site_fract_x
_atom_site_fract_y
_atom_site_fract_z
Ir1 Ir 0.000 0.000 0.000
Ru1 Ru 0.000 0.500 0.500
Ru2 Ru 0.500 0.000 0.500
Ru3 Ru 0.500 0.500 0.000
N1 N 0.500 0.500 0.500
```

Properties
DOS(E_F) ... 0.974 states/eV per atom
Volume ... 64.5 Å³/cell
Spin magnetization ... 0.0 μB/f.u.

ii) A relaxed structure of IrRu3N. Source: the Alexandria database, functional PBE.

Cell and atoms, written as CIF:
```
data_IrRu3N
_cell_length_a 4.730
_cell_length_b 4.730
_cell_length_c 4.730
_cell_angle_alpha 90.00
_cell_angle_beta 90.00
_cell_angle_gamma 90.00
_space_group_name_H-M_alt 'P 1'
_space_group_IT_number 1
_space_group_name_Hall 'P 1'
loop_
_atom_site_label
_atom_site_type_symbol
_atom_site_fract_x
_atom_site_fract_y
_atom_site_fract_z
Ir1 Ir 0.000 0.000 0.000
Ru1 Ru 0.000 0.000 0.500
Ru2 Ru 0.000 0.500 0.000
Ru3 Ru 0.500 0.000 0.000
N1 N 0.500 0.500 0.500
```

Properties
DOS(E_F) ... 1.530 states/eV per atom
Volume ... 105.8 Å³/cell
Spin magnetization ... 5.5 μB/f.u.

Result of the stability comparison: i) is the most stable of them.

i) A relaxed structure of Ir2RuN. Source: the Alexandria database, functional PBE.

Cell and atoms, written as CIF:
```
data_Ir2RuN
_cell_length_a 6.230
_cell_length_b 6.230
_cell_length_c 5.535
_cell_angle_alpha 90.00
_cell_angle_beta 90.00
_cell_angle_gamma 90.00
_space_group_name_H-M_alt 'P 1'
_space_group_IT_number 1
_space_group_name_Hall 'P 1'
loop_
_atom_site_label
_atom_site_type_symbol
_atom_site_fract_x
_atom_site_fract_y
_atom_site_fract_z
Ir1 Ir 0.154 0.750 0.125
Ir2 Ir 0.250 0.154 0.875
Ir3 Ir 0.250 0.346 0.375
Ir4 Ir 0.346 0.750 0.625
Ir5 Ir 0.654 0.250 0.625
Ir6 Ir 0.750 0.654 0.375
Ir7 Ir 0.750 0.846 0.875
Ir8 Ir 0.846 0.250 0.125
Ru1 Ru 0.000 0.000 0.500
Ru2 Ru 0.000 0.500 0.750
Ru3 Ru 0.500 0.000 0.250
Ru4 Ru 0.500 0.500 0.000
N1 N 0.000 0.000 0.000
N2 N 0.000 0.500 0.250
N3 N 0.500 0.000 0.750
N4 N 0.500 0.500 0.500
```

Properties
DOS(E_F) ... 1.308 states/eV per atom
Volume ... 214.9 Å³/cell
Spin magnetization ... 0.0 μB/f.u.

ii) A relaxed structure of Ir2RuN. Source: the Alexandria database, functional PBE.

Cell and atoms, written as CIF:
```
data_Ir2RuN
_cell_length_a 5.950
_cell_length_b 5.950
_cell_length_c 5.950
_cell_angle_alpha 90.00
_cell_angle_beta 90.00
_cell_angle_gamma 90.00
_space_group_name_H-M_alt 'P 1'
_space_group_IT_number 1
_space_group_name_Hall 'P 1'
loop_
_atom_site_label
_atom_site_type_symbol
_atom_site_fract_x
_atom_site_fract_y
_atom_site_fract_z
Ir1 Ir 0.250 0.250 0.250
Ir2 Ir 0.250 0.250 0.750
Ir3 Ir 0.250 0.750 0.250
Ir4 Ir 0.250 0.750 0.750
Ir5 Ir 0.750 0.250 0.250
Ir6 Ir 0.750 0.250 0.750
Ir7 Ir 0.750 0.750 0.250
Ir8 Ir 0.750 0.750 0.750
Ru1 Ru 0.000 0.000 0.000
Ru2 Ru 0.000 0.500 0.500
Ru3 Ru 0.500 0.000 0.500
Ru4 Ru 0.500 0.500 0.000
N1 N 0.000 0.000 0.500
N2 N 0.000 0.500 0.000
N3 N 0.500 0.000 0.000
N4 N 0.500 0.500 0.500
```

Properties
DOS(E_F) ... 2.899 states/eV per atom
Volume ... 210.7 Å³/cell
Spin magnetization ... 0.0 μB/f.u.

Result of the stability comparison: i) is the most stable of them.

i) A relaxed structure of IrS3N. Source: the Alexandria database, functional PBE.

Cell and atoms, written as CIF:
```
data_IrS3N
_cell_length_a 4.587
_cell_length_b 4.587
_cell_length_c 4.587
_cell_angle_alpha 90.00
_cell_angle_beta 90.00
_cell_angle_gamma 90.00
_space_group_name_H-M_alt 'P 1'
_space_group_IT_number 1
_space_group_name_Hall 'P 1'
loop_
_atom_site_label
_atom_site_type_symbol
_atom_site_fract_x
_atom_site_fract_y
_atom_site_fract_z
Ir1 Ir 0.000 0.000 0.000
S1 S 0.000 0.000 0.500
S2 S 0.000 0.500 0.000
S3 S 0.500 0.000 0.000
N1 N 0.500 0.500 0.500
```

Properties
DOS(E_F) ... 1.618 states/eV per atom
Volume ... 96.5 Å³/cell
Spin magnetization ... 0.0 μB/f.u.

ii) A relaxed structure of IrS3N. Source: the Alexandria database, functional PBE.

Cell and atoms, written as CIF:
```
data_IrS3N
_cell_length_a 4.027
_cell_length_b 4.027
_cell_length_c 4.027
_cell_angle_alpha 90.00
_cell_angle_beta 90.00
_cell_angle_gamma 90.00
_space_group_name_H-M_alt 'P 1'
_space_group_IT_number 1
_space_group_name_Hall 'P 1'
loop_
_atom_site_label
_atom_site_type_symbol
_atom_site_fract_x
_atom_site_fract_y
_atom_site_fract_z
Ir1 Ir 0.000 0.000 0.000
S1 S 0.000 0.500 0.500
S2 S 0.500 0.000 0.500
S3 S 0.500 0.500 0.000
N1 N 0.500 0.500 0.500
```

Properties
DOS(E_F) ... 0.894 states/eV per atom
Volume ... 65.3 Å³/cell
Spin magnetization ... 0.0 μB/f.u.

Result of the stability comparison: ii) is the most stable of them.

i) A relaxed structure of SbIrS2N. Source: the Alexandria database, functional PBE.

Cell and atoms, written as CIF:
```
data_SbIrS2N
_cell_length_a 5.001
_cell_length_b 5.001
_cell_length_c 3.771
_cell_angle_alpha 90.00
_cell_angle_beta 90.00
_cell_angle_gamma 90.00
_space_group_name_H-M_alt 'P 1'
_space_group_IT_number 1
_space_group_name_Hall 'P 1'
loop_
_atom_site_label
_atom_site_type_symbol
_atom_site_fract_x
_atom_site_fract_y
_atom_site_fract_z
Sb1 Sb 0.000 0.000 0.000
Ir1 Ir 0.500 0.500 0.500
S1 S 0.000 0.500 0.000
S2 S 0.500 0.000 0.000
N1 N 0.000 0.000 0.500
```

Properties
DOS(E_F) ... 1.349 states/eV per atom
Volume ... 94.3 Å³/cell
Spin magnetization ... 0.9 μB/f.u.

ii) A relaxed structure of SbIrS2N. Source: the Alexandria database, functional PBE.

Cell and atoms, written as CIF:
```
data_SbIrS2N
_cell_length_a 4.923
_cell_length_b 4.923
_cell_length_c 3.682
_cell_angle_alpha 90.00
_cell_angle_beta 90.00
_cell_angle_gamma 90.00
_space_group_name_H-M_alt 'P 1'
_space_group_IT_number 1
_space_group_name_Hall 'P 1'
loop_
_atom_site_label
_atom_site_type_symbol
_atom_site_fract_x
_atom_site_fract_y
_atom_site_fract_z
Sb1 Sb 0.000 0.000 0.000
Ir1 Ir 0.500 0.500 0.500
S1 S 0.000 0.500 0.500
S2 S 0.500 0.000 0.500
N1 N 0.500 0.500 0.000
```

Properties
DOS(E_F) ... 0.320 states/eV per atom
Volume ... 89.2 Å³/cell
Spin magnetization ... 0.0 μB/f.u.

Result of the stability comparison: ii) is the most stable of them.

i) A relaxed structure of ScIrS2N. Source: the Alexandria database, functional PBE.

Cell and atoms, written as CIF:
```
data_ScIrS2N
_cell_length_a 4.863
_cell_length_b 4.863
_cell_length_c 3.666
_cell_angle_alpha 90.00
_cell_angle_beta 90.00
_cell_angle_gamma 90.00
_space_group_name_H-M_alt 'P 1'
_space_group_IT_number 1
_space_group_name_Hall 'P 1'
loop_
_atom_site_label
_atom_site_type_symbol
_atom_site_fract_x
_atom_site_fract_y
_atom_site_fract_z
Sc1 Sc 0.000 0.000 0.000
Ir1 Ir 0.500 0.500 0.500
S1 S 0.000 0.500 0.500
S2 S 0.500 0.000 0.500
N1 N 0.500 0.500 0.000
```

Properties
DOS(E_F) ... 0.449 states/eV per atom
Volume ... 86.7 Å³/cell
Spin magnetization ... 0.0 μB/f.u.

ii) A relaxed structure of ScIrS2N. Source: the Alexandria database, functional PBE.

Cell and atoms, written as CIF:
```
data_ScIrS2N
_cell_length_a 4.868
_cell_length_b 4.868
_cell_length_c 3.932
_cell_angle_alpha 90.00
_cell_angle_beta 90.00
_cell_angle_gamma 90.00
_space_group_name_H-M_alt 'P 1'
_space_group_IT_number 1
_space_group_name_Hall 'P 1'
loop_
_atom_site_label
_atom_site_type_symbol
_atom_site_fract_x
_atom_site_fract_y
_atom_site_fract_z
Sc1 Sc 0.000 0.000 0.000
Ir1 Ir 0.500 0.500 0.500
S1 S 0.000 0.500 0.000
S2 S 0.500 0.000 0.000
N1 N 0.000 0.000 0.500
```

Properties
DOS(E_F) ... 0.644 states/eV per atom
Volume ... 93.2 Å³/cell
Spin magnetization ... 1.9 μB/f.u.

Result of the stability comparison: i) is the most stable of them.

i) A relaxed structure of IrSe2SN. Source: the Alexandria database, functional PBE.

Cell and atoms, written as CIF:
```
data_IrSe2SN
_cell_length_a 5.093
_cell_length_b 5.093
_cell_length_c 3.649
_cell_angle_alpha 90.00
_cell_angle_beta 90.00
_cell_angle_gamma 90.00
_space_group_name_H-M_alt 'P 1'
_space_group_IT_number 1
_space_group_name_Hall 'P 1'
loop_
_atom_site_label
_atom_site_type_symbol
_atom_site_fract_x
_atom_site_fract_y
_atom_site_fract_z
Ir1 Ir 0.000 0.000 0.000
Se1 Se 0.000 0.500 0.000
Se2 Se 0.500 0.000 0.000
S1 S 0.500 0.500 0.500
N1 N 0.000 0.000 0.500
```

Properties
DOS(E_F) ... 0.754 states/eV per atom
Volume ... 94.7 Å³/cell
Spin magnetization ... 0.0 μB/f.u.

ii) A relaxed structure of IrSe2SN. Source: the Alexandria database, functional PBE.

Cell and atoms, written as CIF:
```
data_IrSe2SN
_cell_length_a 4.926
_cell_length_b 4.926
_cell_length_c 3.188
_cell_angle_alpha 90.00
_cell_angle_beta 90.00
_cell_angle_gamma 90.00
_space_group_name_H-M_alt 'P 1'
_space_group_IT_number 1
_space_group_name_Hall 'P 1'
loop_
_atom_site_label
_atom_site_type_symbol
_atom_site_fract_x
_atom_site_fract_y
_atom_site_fract_z
Ir1 Ir 0.000 0.000 0.000
Se1 Se 0.000 0.500 0.500
Se2 Se 0.500 0.000 0.500
S1 S 0.500 0.500 0.500
N1 N 0.500 0.500 0.000
```

Properties
DOS(E_F) ... 0.713 states/eV per atom
Volume ... 77.4 Å³/cell
Spin magnetization ... 0.0 μB/f.u.

Result of the stability comparison: i) is the most stable of them.